Compound: FeAsF2
Source: the Alexandria database
Functional: PBE+U
Structure: relaxed

- Total energy: -36.3 eV for the cell shown
- Space-group type: No. 122

Geometry as extended XYZ:
```
8
Lattice="-3.5939 -5.0056 2.3047 5.1407 -2.0541 3.5550 -0.2055 -1.6843 5.4117" Properties=species:S:1:pos:R:3 pbc="T T T"
Fe 2.8543 -3.6341 5.9482
F -1.1505 -3.1038 2.9143
F 0.4778 -7.1522 8.6870
F 2.2079 -3.0331 4.1863
As -1.5130 -5.1099 5.3231
Fe 0.7734 -3.5298 2.9298
F 1.1475 -4.1989 6.7551
As 0.0000 0.0000 0.0000
```